# Tl6InPb2, optimized geometry, DFT PBE
data_Tl6InPb2
_symmetry_space_group_name_H-M 'P 1'
_symmetry_Int_Tables_number 1
_cell_length_a 3.621
_cell_length_b 3.621
_cell_length_c 24.740
_cell_angle_alpha 90.00
_cell_angle_beta 90.00
_cell_angle_gamma 120.00
loop_
_symmetry_equiv_pos_as_xyz
'x,y,z'
loop_
_atom_site_label
_atom_site_fract_x
_atom_site_fract_y
_atom_site_fract_z
Tl1 0.667 0.333 0.896
Tl2 0.333 0.667 0.435
Tl3 0.333 0.667 0.785
Tl4 0.333 0.667 0.215
Tl5 0.333 0.667 0.565
Tl6 0.667 0.333 0.104
In1 0.333 0.667 0.000
Pb1 0.667 0.333 0.326
Pb2 0.667 0.333 0.674
# energy above the lowest structure with this stoichiometry	0	meV/atom
# N(E_F)	0.60	states/eV per atom
# total magnetic moment	0.000	μB/f.u.
# energy of formation from the pure elements	0.0228	eV per atom
# final energy	-2.683	eV per atom
# space group	P-6m2 (187)